## Ca4Au (GGA-PBE)

Data for a relaxed Ca4Au crystal.

a = 5.7964 Å, b = 5.7964 Å, c = 5.7964 Å
α = 90.00°, β = 90.00°, γ = 90.00°
Closest atoms and distances in Å follow each position.
Sites, in units of the cell vectors:
Ca: 0.0000 0.5000 0.5000  2 Au 2.90
Ca: 0.5000 0.5000 0.0000  2 Au 2.90
Ca: 0.0000 0.0000 0.0000  12 Ca 4.10
Ca: 0.5000 0.0000 0.5000  2 Au 2.90
Au: 0.5000 0.5000 0.5000  6 Ca 2.90

Values from the calculation:
Formation enthalpy at 0 K = -0.31 eV/atom
Total magnetization = 0.00 μB per formula unit